# 1
First-principles (PBE) data for a relaxed Na2H6Se crystal, as listed in Alexandria.

a = 7.574 Å, b = 7.574 Å, c = 7.574 Å
α = 90.00°, β = 90.00°, γ = 90.00°
Space group Fm-3m (No. 225)
Symmetry-distinct sites (fractional):
1 Na 0.250 0.250 0.250
2 H 0.000 0.000 0.237
3 Se 0.000 0.000 0.000

## Properties
The total energy is -2.59 eV per atom. The calculation puts the calculated volume at 12.07 Å³ per atom. As for the theoretical density: 2.002 g cm⁻³.


# 2
First-principles (PBE) data for a relaxed Rb2ZrNF6 crystal, as listed in Alexandria.

a = 6.676 Å, b = 6.676 Å, c = 9.506 Å
α = 90.00°, β = 90.00°, γ = 90.00°
Space group I4/mmm (No. 139)
Symmetry-distinct sites (fractional):
1 Rb 0.000 0.500 0.250
2 Zr 0.000 0.000 0.000
3 N 0.000 0.000 0.500
4 F 0.000 0.000 0.214
5 F 0.216 0.216 0.000

## Properties
The total energy is -5.47 eV per atom. The density of states at the Fermi level is 0.0 states/eV per cell. The calculation puts the calculated volume at 21.18 Å³ per atom. As for the theoretical density: 3.059 g cm⁻³.


# 3
First-principles (PBE) data for a relaxed SrCa4Ag2 crystal, as listed in Alexandria.

a = 8.494 Å, b = 6.866 Å, c = 8.923 Å
α = 90.00°, β = 112.04°, γ = 90.00°
Space group P2_1/m (No. 11)
Symmetry-distinct sites (fractional):
1 Sr 0.000 0.250 0.152
2 Ca 0.239 0.501 0.582
3 Ca 0.346 0.750 0.263
4 Ca 0.393 0.250 0.018
5 Ag 0.018 0.250 0.734
6 Ag 0.414 0.250 0.374

## Properties
The density of states at the Fermi level is 11.7 states/eV per cell. The calculation puts the calculated volume at 34.45 Å³ per atom. Its formation energy is -185 meV/atom. As for the theoretical density: 3.192 g cm⁻³.


# 4
First-principles (PBE) data for a relaxed SmPuAsSe crystal, as listed in Alexandria.

a = 4.1853 Å, b = 4.1853 Å, c = 20.3687 Å
α = 90.00°, β = 90.00°, γ = 120.00°
Space group R3m (No. 160, hexagonal axes)
Symmetry-distinct sites (fractional):
1 Sm 0.0000 0.0000 0.0000
2 Pu 0.0000 0.0000 0.5040
3 As 0.0000 0.0000 0.2509
4 Se 0.0000 0.0000 0.7538

## Properties
The total energy is -8.32 eV per atom. The density of states at the Fermi level is 30.1 states/eV per cell. The calculation puts the calculated volume at 25.75 Å³ per atom. As for the theoretical density: 8.839 g cm⁻³.